Here is a geometry-optimized Ba2Li12Cd3In structure from the Alexandria database. Energies are from PBE.

Unit cell a=7.6479 b=7.6479 c=7.6479 alpha=86.11 beta=86.11 gamma=86.11
Fractional positions:
1 Cd 0.0000 0.5000 0.0000
2 Li 0.5822 0.5822 0.1527
3 In 0.0000 0.0000 0.0000
4 Li 0.8112 0.2624 0.8112
5 Li 0.8112 0.8112 0.2624
6 Li 0.4178 0.8473 0.4178
7 Ba 0.2677 0.2677 0.2677
8 Li 0.1527 0.5822 0.5822
9 Li 0.5822 0.1527 0.5822
10 Cd 0.5000 0.0000 0.0000
11 Li 0.1888 0.1888 0.7376
12 Li 0.7376 0.1888 0.1888
13 Li 0.8473 0.4178 0.4178
14 Ba 0.7323 0.7323 0.7323
15 Cd 0.0000 0.0000 0.5000
16 Li 0.4178 0.4178 0.8473
17 Li 0.2624 0.8112 0.8112
18 Li 0.1888 0.7376 0.1888

Calculated values
As for the energy of formation from the pure elements: -29 meV per atom. The calculation puts the total energy at -32.82 eV per formula unit. Its total moment is 0.00 μB/cell.